Record 1
Entry from the Alexandria database: crystalline TbSc2Pt at its relaxed geometry (GGA-PBE).

Properties
formation energy = -0.463 eV per atom
density = 7153 kg/m³
crystal system = trigonal

CIF file:
```
data_TbSc2Pt
_chemical_formula_sum 'Tb3 Sc6 Pt3'
_cell_length_a 3.7691
_cell_length_b 3.7691
_cell_length_c 25.1302
_cell_angle_alpha 90.00
_cell_angle_beta 90.00
_cell_angle_gamma 120.00
_space_group_name_H-M_alt 'R 3 m'
_space_group_IT_number 160
_space_group_name_Hall 'R 3 -2"'
loop_
_atom_site_label
_atom_site_type_symbol
_atom_site_fract_x
_atom_site_fract_y
_atom_site_fract_z
Tb1 Tb 0.0000 0.0000 0.0000
Sc1 Sc 0.0000 0.0000 0.2290
Sc2 Sc 0.0000 0.0000 0.4420
Pt1 Pt 0.0000 0.0000 0.8359
```

Record 2
Entry from the Alexandria database: crystalline TbSc2Pt at its relaxed geometry (GGA-PBE).

Properties
formation energy = -0.426 eV per atom
density = 7268 kg/m³
crystal system = trigonal

CIF file:
```
data_TbSc2Pt
_chemical_formula_sum 'Tb3 Sc6 Pt3'
_cell_length_a 3.5832
_cell_length_b 3.5832
_cell_length_c 27.3644
_cell_angle_alpha 90.00
_cell_angle_beta 90.00
_cell_angle_gamma 120.00
_space_group_name_H-M_alt 'R -3 m'
_space_group_IT_number 166
_space_group_name_Hall '-R 3 2"'
loop_
_atom_site_label
_atom_site_type_symbol
_atom_site_fract_x
_atom_site_fract_y
_atom_site_fract_z
Tb1 Tb 0.0000 0.0000 0.0000
Sc1 Sc 0.0000 0.0000 0.2286
Pt1 Pt 0.0000 0.0000 0.5000
```

Record 3
Entry from the Alexandria database: crystalline TbScPt6 at its relaxed geometry (GGA-PBE).

Properties
formation energy = -1.036 eV per atom
density = 16928 kg/m³
crystal system = tetragonal

CIF file:
```
data_TbScPt6
_chemical_formula_sum 'Tb1 Sc1 Pt6'
_cell_length_a 4.072
_cell_length_b 4.072
_cell_length_c 8.131
_cell_angle_alpha 90.00
_cell_angle_beta 90.00
_cell_angle_gamma 90.00
_space_group_name_H-M_alt 'P 4/m m m'
_space_group_IT_number 123
_space_group_name_Hall '-P 4 2'
loop_
_atom_site_label
_atom_site_type_symbol
_atom_site_fract_x
_atom_site_fract_y
_atom_site_fract_z
Tb1 Tb 0.000 0.000 0.000
Sc1 Sc 0.000 0.000 0.500
Pt1 Pt 0.000 0.500 0.260
Pt2 Pt 0.500 0.500 0.000
Pt3 Pt 0.500 0.500 0.500
```

Record 4
Entry from the Alexandria database: crystalline TbSc3Pt4 at its relaxed geometry (GGA-PBE).

Properties
formation energy = -1.207 eV per atom
density = 11800 kg/m³
crystal system = orthorhombic

CIF file:
```
data_TbSc3Pt4
_chemical_formula_sum 'Tb2 Sc6 Pt8'
_cell_length_a 9.590
_cell_length_b 6.575
_cell_length_c 4.795
_cell_angle_alpha 90.00
_cell_angle_beta 90.00
_cell_angle_gamma 90.00
_space_group_name_H-M_alt 'P m m a'
_space_group_IT_number 51
loop_
_space_group_symop_operation_xyz
'x,y,z'
'-x,-y,-z'
'-x+1/2,-y,z'
'x+1/2,y,-z'
'x+1/2,-y,-z'
'-x+1/2,y,z'
'-x,y,-z'
'x,-y,z'
loop_
_atom_site_label
_atom_site_type_symbol
_atom_site_fract_x
_atom_site_fract_y
_atom_site_fract_z
Tb1 Tb 0.000 0.000 0.000
Sc1 Sc 0.000 0.500 0.000
Sc2 Sc 0.250 0.000 0.497
Sc3 Sc 0.250 0.500 0.494
Pt1 Pt 0.000 0.262 0.500
Pt2 Pt 0.250 0.262 0.991
```